Record 1
Material: Cr2CdOs
Method: DFT, PBE
State: optimized geometry

Cell lengths 2.8101, 3.7657, 5.6557 Å; angles 90.00, 90.00, 90.00 degrees
Positions (direct):
Cr  0.0000  0.0000  0.1917
Cr  0.0000  0.0000  0.8083
Cd  0.5000  0.5000  0.5000
Os  0.5000  0.5000  0.0000

Output
E_form = 0.3713 eV per atom
symmetry = Pmmm, No. 47
calculated volume = 15.0 Å³/atom
crystal system = orthorhombic


Record 2
Material: Cr2CdOs
Method: DFT, PBE
State: optimized geometry

Cell lengths 2.7923, 3.9032, 5.6106 Å; angles 90.00, 99.56, 90.00 degrees
Positions (direct):
Cr  0.0000  0.0000  0.0000
Cr  0.3430  0.5000  0.2146
Cd  0.4043  0.5000  0.7172
Os  0.8078  0.0000  0.4096

Output
E_form = 0.4607 eV per atom
symmetry = Pm, No. 6
calculated volume = 15.1 Å³/atom
crystal system = monoclinic


Record 3
Material: Cr2CdOs
Method: DFT, PBE
State: optimized geometry

Cell lengths 5.1673, 5.1673, 4.5050 Å; angles 115.03, 115.03, 33.02 degrees
Positions (direct):
Cr  0.0000  0.0000  0.0000
Cr  0.7176  0.7176  0.2193
Cd  0.2284  0.2284  0.7299
Os  0.4504  0.4504  0.4489

Output
E_form = 0.4298 eV per atom
symmetry = Cm, No. 8
calculated volume = 14.7 Å³/atom
crystal system = monoclinic


Fermi-level density of states? In order: 3.551; 3.249; 2.809 states/eV per cell.